Entry from the Alexandria database: an optimized crystal structure of HfPaCoMo (PBE-GGA).

a = 4.702 Å, b = 4.702 Å, c = 4.702 Å
α = 60.00°, β = 60.00°, γ = 60.00°
Each line ends with the local moment (μB).
Fractional coordinates of all 4 atoms:
Co  0.500  0.500  0.500  0.47
Mo  0.000  0.000  0.000  0.02
Pa  0.250  0.250  0.250  -0.06
Hf  0.750  0.750  0.750  -0.01

Results
E_form (eV per atom): -0.10
SG: F-43m (216)
Raw total energy (Ry per atom): -0.6944
Magnetization (μB/atom): 0.094
Density (g cm⁻³): 12.75